(1)
The following is a DFT calculation (GGA-PBEsol) of a relaxed Ag2HPt2 crystal.

The structure belongs to space group P4/mbm (No. 127); the cell edges are 5.3029, 5.3029 and 4.9047 Å and the angles 90.00°, 90.00° and 90.00°. The inequivalent atoms are Ag at (0.1746, 0.3254, 0.0000), H at (0.0000, 0.0000, 0.5000) and Pt at (0.1769, 0.6769, 0.5000).

The value obtained for the total energy is -47.00 eV per cell. Its calculated volume is 137.9 Å³/cell. Its crystal system is tetragonal.

---

(2)
The following is a DFT calculation (GGA-PBEsol) of a relaxed AgHPt2 crystal.

The structure belongs to space group Fm-3m (No. 225); the cell edges are 6.0045, 6.0045 and 6.0045 Å and the angles 90.00°, 90.00° and 90.00°. The inequivalent atoms are Ag at (0.0000, 0.0000, 0.0000), H at (0.0000, 0.0000, 0.5000) and Pt at (0.2500, 0.2500, 0.2500).

The value obtained for the total energy is -71.04 eV per cell. Its calculated volume is 216.5 Å³/cell. Its crystal system is cubic.

---

(3)
The following is a DFT calculation (GGA-PBEsol) of a relaxed Ag2H2Pt crystal.

The structure belongs to space group P4/mbm (No. 127); the cell edges are 5.3622, 5.3622 and 4.0671 Å and the angles 90.00°, 90.00° and 90.00°. The inequivalent atoms are Ag at (0.1990, 0.3010, 0.0000), H at (0.2376, 0.2624, 0.5000) and Pt at (0.0000, 0.0000, 0.5000).

The value obtained for the total energy is -39.81 eV per cell. Its calculated volume is 116.9 Å³/cell. Its crystal system is tetragonal.

---

(4)
The following is a DFT calculation (GGA-PBEsol) of a relaxed AgH3Pt crystal.

The structure belongs to space group Pm-3m (No. 221); the cell edges are 3.5440, 3.5440 and 3.5440 Å and the angles 90.00°, 90.00° and 90.00°. The inequivalent atoms are Ag at (0.0000, 0.0000, 0.0000), H at (0.0000, 0.5000, 0.5000) and Pt at (0.5000, 0.5000, 0.5000).

The relative energy among the computed polymorphs is 0 meV per atom. Its calculated volume is 44.5 Å³/cell. Its crystal system is cubic.

---

(5)
The following is a DFT calculation (GGA-PBEsol) of a relaxed AgH3Pt crystal.

The structure belongs to space group Pm-3m (No. 221); the cell edges are 3.5265, 3.5265 and 3.5265 Å and the angles 90.00°, 90.00° and 90.00°. The inequivalent atoms are Ag at (0.0000, 0.0000, 0.0000), H at (0.0000, 0.0000, 0.5000) and Pt at (0.5000, 0.5000, 0.5000).

The relative energy among the computed polymorphs is 645 meV per atom. Its calculated volume is 43.9 Å³/cell. Its crystal system is cubic.

---

(6)
The following is a DFT calculation (GGA-PBEsol) of a relaxed Ta2AgHPt crystal.

The structure belongs to space group P4/mmm (No. 123); the cell edges are 4.0419, 4.0419 and 4.1448 Å and the angles 90.00°, 90.00° and 90.00°. The inequivalent atoms are Ta at (0.0000, 0.5000, 0.0000), Ag at (0.0000, 0.0000, 0.5000), H at (0.0000, 0.0000, 0.0000) and Pt at (0.5000, 0.5000, 0.5000).

The value obtained for the total energy is -39.23 eV per cell. Its calculated volume is 67.7 Å³/cell. Its crystal system is tetragonal.

---

(7)
The following is a DFT calculation (GGA-PBEsol) of a relaxed ZrAgHPt2 crystal.

The structure belongs to space group P4/mmm (No. 123); the cell edges are 4.0415, 4.0415 and 4.2155 Å and the angles 90.00°, 90.00° and 90.00°. The inequivalent atoms are Zr at (0.0000, 0.0000, 0.0000), Ag at (0.5000, 0.5000, 0.0000), H at (0.0000, 0.0000, 0.5000) and Pt at (0.0000, 0.5000, 0.5000).

The value obtained for the total energy is -31.20 eV per cell. Its calculated volume is 68.9 Å³/cell. Its crystal system is tetragonal.

---

(8)
The following is a DFT calculation (GGA-PBEsol) of a relaxed Rb3AgH crystal.

The structure belongs to space group Pm-3m (No. 221); the cell edges are 5.6476, 5.6476 and 5.6476 Å and the angles 90.00°, 90.00° and 90.00°. The inequivalent atoms are Rb at (0.0000, 0.0000, 0.5000), Ag at (0.5000, 0.5000, 0.5000) and H at (0.0000, 0.0000, 0.0000).

The value obtained for the total energy is -9.27 eV per cell. Its calculated volume is 180.1 Å³/cell. Its crystal system is cubic.

---

(9)
The following is a DFT calculation (GGA-PBEsol) of a relaxed ReAgH2 crystal.

The structure belongs to space group Fm-3m (No. 225); the cell edges are 5.3198, 5.3198 and 5.3198 Å and the angles 90.00°, 90.00° and 90.00°. The inequivalent atoms are Re at (0.0000, 0.0000, 0.0000), Ag at (0.0000, 0.0000, 0.5000) and H at (0.2500, 0.2500, 0.2500).

The relative energy among the computed polymorphs is 700 meV per atom. Its calculated volume is 150.6 Å³/cell. Its crystal system is cubic.

---

(10)
The following is a DFT calculation (GGA-PBEsol) of a relaxed ReAgH2 crystal.

The structure belongs to space group I-42d (No. 122); the cell edges are 5.1309, 5.1309 and 5.6365 Å and the angles 90.00°, 90.00° and 90.00°. The inequivalent atoms are Re at (0.0000, 0.0000, 0.0000), Ag at (0.0000, 0.0000, 0.5000) and H at (0.1962, 0.2500, 0.1250).

The relative energy among the computed polymorphs is 0 meV per atom. Its calculated volume is 148.4 Å³/cell. Its crystal system is tetragonal.

---

(11)
The following is a DFT calculation (GGA-PBEsol) of a relaxed ReAgH3 crystal.

The structure belongs to space group Pm-3m (No. 221); the cell edges are 3.4601, 3.4601 and 3.4601 Å and the angles 90.00°, 90.00° and 90.00°. The inequivalent atoms are Re at (0.0000, 0.0000, 0.0000), Ag at (0.5000, 0.5000, 0.5000) and H at (0.0000, 0.5000, 0.5000).

The value obtained for the total energy is -20.76 eV per cell. Its calculated volume is 41.4 Å³/cell. Its crystal system is cubic.

---

(12)
The following is a DFT calculation (GGA-PBEsol) of a relaxed AgH3Rh crystal.

The structure belongs to space group Pm-3m (No. 221); the cell edges are 3.4391, 3.4391 and 3.4391 Å and the angles 90.00°, 90.00° and 90.00°. The inequivalent atoms are Ag at (0.0000, 0.0000, 0.0000), H at (0.0000, 0.5000, 0.5000) and Rh at (0.5000, 0.5000, 0.5000).

The relative energy among the computed polymorphs is 22 meV per atom. Its calculated volume is 40.7 Å³/cell. Its crystal system is cubic.

---

What is the formula in the ninth record? ReAgH2

---

Which of these has the highest calculated volume? AgHPt2

---

Number 2 is which compound? AgHPt2